This record from the Alexandria database describes CsCdH3 after structural relaxation. The functional is PBEsol.

Cell and atoms, written as POSCAR:
```
CsCdH3
1.0
-1.708 2.147 -3.198
1.958 -2.528 -2.743
-3.316 -2.598 0.027
Cs H Cd
1 3 1
Cartesian
-1.533 -1.490 -2.957
0.979 -1.264 -1.371
-0.854 1.073 -1.599
-1.658 -1.299 0.013
0.000 0.000 0.000
```

Properties
Uncorrected energy ... -2.432 eV/atom
Symmetry ... No. 221